Entry 1:
The following is a DFT calculation (PBE) of a geometry-optimized PrThCo4 structure.

Its density of states at the Fermi level is 7.03 states/eV/f.u. The total magnetization is 1.90 μB/f.u. The energy above the most stable polymorph in this dataset comes out at 0.0000 eV/atom. The value obtained for the formation energy is -1.16 eV per formula unit.

POSCAR file:
```
PrThCo4
1.0
-1.5149 2.9033 2.4799
-2.2833 -2.7001 1.7661
4.9570 -1.2522 4.4941
Pr Th Co
1 1 4
direct
0.9986 0.9973 0.4981 Pr
0.9986 0.4973 0.9981 Th
0.4986 0.9973 0.1625 Co
0.4985 0.9973 0.8338 Co
0.4986 0.4973 0.6696 Co
0.4986 0.4973 0.3267 Co
```

=====

Entry 2:
The following is a DFT calculation (PBE) of a geometry-optimized PrTh2Co structure.

Its density of states at the Fermi level is 4.80 states/eV/f.u. The total magnetization is 0.00 μB/f.u. The energy above the most stable polymorph in this dataset comes out at 0.0000 eV/atom. The value obtained for the formation energy is -0.63 eV per formula unit.

POSCAR file:
```
PrTh2Co
1.0
-3.4745 -1.0127 -0.9009
3.4228 -0.1672 -5.2816
2.2789 -9.3971 1.7744
Pr Th Co
2 4 2
direct
0.4124 0.8262 0.2500 Pr
0.5876 0.1738 0.7500 Pr
0.1394 0.2790 0.4328 Th
0.8606 0.7210 0.5672 Th
0.8606 0.7210 0.9328 Th
0.1394 0.2790 0.0672 Th
0.6964 0.3934 0.2500 Co
0.3036 0.6066 0.7500 Co
```

=====

Entry 3:
The following is a DFT calculation (PBE) of a geometry-optimized PrTh2Co structure.

Its density of states at the Fermi level is 5.68 states/eV/f.u. The total magnetization is 0.00 μB/f.u. The energy above the most stable polymorph in this dataset comes out at 0.2346 eV/atom. The value obtained for the formation energy is 0.31 eV per formula unit.

POSCAR file:
```
PrTh2Co
1.0
-0.4082 -3.2042 -1.9480
1.0106 -3.2889 1.5460
-9.1467 -3.2649 3.6350
Pr Co Th
1 1 2
direct
0.0000 0.0000 0.0000 Pr
0.5000 0.5000 0.5000 Co
0.1143 0.1143 0.6570 Th
0.8857 0.8857 0.3430 Th
```

=====

Entry 4:
The following is a DFT calculation (PBE) of a geometry-optimized PrTh2Co6 structure.

Its density of states at the Fermi level is 11.69 states/eV/f.u. The total magnetization is 2.41 μB/f.u. The energy above the most stable polymorph in this dataset comes out at 0.0000 eV/atom. The value obtained for the formation energy is -1.48 eV per formula unit.

POSCAR file:
```
PrTh2Co6
1.0
-2.0886 3.4525 -0.3160
-5.7075 -3.2802 1.8855
4.0248 2.8687 4.7394
Pr Th Co
1 2 6
direct
0.0000 0.0000 0.0000 Pr
0.0000 0.3333 0.6667 Th
0.0000 0.6667 0.3333 Th
0.5000 0.3360 0.3360 Co
0.5000 0.6639 0.6639 Co
0.5000 0.0000 0.6639 Co
0.5000 0.6639 0.0000 Co
0.5000 0.3360 0.0000 Co
0.5000 0.0000 0.3360 Co
```